A plane-wave DFT calculation with GGA-PBE was carried out for AgSnH3 after structural relaxation.

Values from the calculation:
Offset from the most stable computed form in eV per atom: 0.0000

Cell and atoms, written as POSCAR:
```
AgSnH3
1.0
-1.097 3.452 1.454
-2.006 -1.821 2.810
3.163 0.042 2.286
H Ag Sn
3 1 1
direct
0.000 0.500 0.000
0.000 0.000 0.500
0.500 0.000 0.000
0.000 0.000 0.000
0.500 0.500 0.500
```

A plane-wave DFT calculation with GGA-PBE was carried out for Ag2SnH after structural relaxation.

Values from the calculation:
Offset from the most stable computed form in eV per atom: 0.0000

Cell and atoms, written as POSCAR:
```
Ag2SnH
1.0
6.100 0.000 0.000
0.000 6.100 0.000
3.050 3.050 3.788
Ag Sn H
4 2 2
direct
0.875 0.732 0.750
0.268 0.625 0.250
0.375 0.518 0.750
0.482 0.125 0.250
0.750 0.250 0.500
0.000 0.000 0.000
0.500 0.500 0.000
0.250 0.750 0.500
```

A plane-wave DFT calculation with GGA-PBE was carried out for Sr2AgSnH after structural relaxation.

Values from the calculation:
Calculated total energy in eV/atom: -3.13

Cell and atoms, written as POSCAR:
```
Sr2AgSnH
1.0
5.460 0.000 0.000
0.000 5.460 0.000
0.000 0.000 4.185
Ag Sr H Sn
1 2 1 1
direct
0.000 0.000 0.500
0.000 0.500 0.000
0.500 0.000 0.000
0.000 0.000 0.000
0.500 0.500 0.500
```

A plane-wave DFT calculation with GGA-PBE was carried out for YAg2SnH after structural relaxation.

Values from the calculation:
Calculated total energy in eV/atom: -4.16

Cell and atoms, written as POSCAR:
```
YAg2SnH
1.0
4.485 0.000 0.000
0.000 4.485 0.000
0.000 0.000 4.545
Y Ag Sn H
1 2 1 1
direct
0.000 0.000 0.500
0.500 0.000 0.000
0.000 0.500 0.000
0.500 0.500 0.500
0.000 0.000 0.000
```